(1)
Material: Si4BrCl
Method: DFT, PBE-GGA
State: relaxed

The space group is F-43m (No. 216) and the conventional cell measures 7.661, 7.661 and 7.661 Å, with angles of 90.00, 90.00 and 90.00 degrees. The inequivalent atoms are Si at (0.125, 0.125, 0.125), Br at (0.250, 0.250, 0.750) and Cl at (0.000, 0.000, 0.500).

The energy relative to the elements, uncorrected is 0.621 eV per atom. As for the theoretical density: 3364 kg/m3.

=====

(2)
Material: Ti2GaS
Method: DFT, PBE-GGA
State: relaxed

The space group is Fm-3m (No. 225) and the conventional cell measures 6.280, 6.280 and 6.280 Å, with angles of 90.00, 90.00 and 90.00 degrees. The inequivalent atoms are Ti at (0.250, 0.250, 0.250), Ga at (0.000, 0.000, 0.000) and S at (0.000, 0.000, 0.500).

The energy relative to the elements, uncorrected is -0.353 eV per atom. As for the theoretical density: 5296 kg/m3.

=====

(3)
Material: ScTe2Pt
Method: DFT, PBE-GGA
State: relaxed

The space group is Fm-3m (No. 225) and the conventional cell measures 7.082, 7.082 and 7.082 Å, with angles of 90.00, 90.00 and 90.00 degrees. The inequivalent atoms are Sc at (0.000, 0.000, 0.000), Te at (0.250, 0.250, 0.250) and Pt at (0.000, 0.000, 0.500).

The energy relative to the elements, uncorrected is -0.355 eV per atom. As for the theoretical density: 9262 kg/m3.

=====

Magnetization across the listed records, respectively: 0.0, 0.0, 0.0 Bohr magnetons per cell.